(1)
Here is a geometry-optimized InTcMoC2 structure from Alexandria. Energies are from PBEsol.

abc: 4.0472 4.0472 5.1069
angles: 90.00 90.00 90.00
Closest atoms and distances in Å follow each position.
Atoms (fractional coordinates):
In: 0.0000 0.0000 0.0000  4 C 2.02
Tc: 0.0000 0.0000 0.5000  2 In 2.55
Mo: 0.5000 0.5000 0.5000  4 Tc 2.86
C: 0.0000 0.5000 0.0000  2 In 2.02
C: 0.5000 0.0000 0.0000  2 In 2.02

Summary:
Volume (A^3/atom): 16.73
Formation enthalpy at 0 K (eV per atom): 3.265

=====

(2)
Here is a geometry-optimized Al3AsCl structure from Alexandria. Energies are from PBEsol.

abc: 4.8470 4.8470 4.8470
angles: 90.00 90.00 90.00
Closest atoms and distances in Å follow each position.
Atoms (fractional coordinates):
Al: 0.0000 0.0000 0.5000  2 Cl 2.42
Al: 0.0000 0.5000 0.0000  2 Cl 2.42
Al: 0.5000 0.0000 0.0000  2 Cl 2.42
As: 0.5000 0.5000 0.5000  12 Al 3.43
Cl: 0.0000 0.0000 0.0000  6 Al 2.42

Summary:
Volume (A^3/atom): 22.77
Formation energy without anion corrections (eV per atom): 0.688

=====

(3)
Here is a geometry-optimized Cs2YTa structure from Alexandria. Energies are from PBEsol.

abc: 5.6930 5.6930 5.6930
angles: 60.00 60.00 60.00
Closest atoms and distances in Å follow each position.
Atoms (fractional coordinates):
Cs: 0.2500 0.2500 0.2500  4 Ta 3.49, 4 Y 3.49
Cs: 0.7500 0.7500 0.7500  4 Ta 3.49, 4 Y 3.49
Y: 0.0000 0.0000 0.0000  8 Cs 3.49
Ta: 0.5000 0.5000 0.5000  8 Cs 3.49

Summary:
Volume (A^3/atom): 32.62
Formation enthalpy at 0 K (eV per atom): 1.850

=====

(4)
Here is a geometry-optimized Zn2RhBr structure from Alexandria. Energies are from PBEsol.

abc: 4.4505 4.4505 3.1671
angles: 90.00 90.00 90.00
Closest atoms and distances in Å follow each position.
Atoms (fractional coordinates):
Zn: 0.0000 0.5000 0.0000  4 Br 2.73, 4 Rh 2.73
Zn: 0.5000 0.0000 0.0000  4 Br 2.73, 4 Rh 2.73
Rh: 0.0000 0.0000 0.5000  8 Zn 2.73
Br: 0.5000 0.5000 0.5000  8 Zn 2.73

Summary:
Volume (A^3/atom): 15.68
Formation energy without anion corrections (eV per atom): 0.120
E above lowest polymorph (eV per atom): 0.2382